# 1
AlCr2As (meta-GGA SCAN, single point on PBEsol structure); spin magnetization = 2.931 μB per cell; E = -16.09 eV/atom
1.0
3.0868 0.0000 0.0000
0.0000 4.3776 0.0000
-1.5434 -2.1888 3.8634
Al As Cr
1 1 2
direct
0.5000 0.0000 0.0000
0.0000 0.5000 0.0000
0.7357 0.7357 0.4713
0.2643 0.2643 0.5287

# 2
YHfSc3 (meta-GGA SCAN, single point on PBEsol structure); spin magnetization = 0.005 μB per cell; E = -25.47 eV/atom
1.0
-2.0003 0.3114 4.5771
-4.4618 -1.2936 -1.8619
1.0672 -4.8247 0.7946
Sc Hf Y
3 1 1
direct
0.0000 0.0000 0.5000
0.0000 0.5000 0.0000
0.5000 0.0000 0.0000
0.5000 0.5000 0.5000
0.0000 0.0000 0.0000

# 3
RbTiAsSe2 (meta-GGA SCAN, single point on PBEsol structure); spin magnetization = 1.198 μB per cell; E = -18.10 eV/atom
1.0
5.2381 0.0000 0.0000
0.0000 5.4712 0.0000
0.0000 0.0000 5.4712
Rb Ti Se As
1 1 2 1
direct
0.0000 0.0000 0.0000
0.5000 0.5000 0.5000
0.0000 0.5000 0.0000
0.0000 0.0000 0.5000
0.5000 0.0000 0.0000

# 4
Li3TeF (meta-GGA SCAN, single point on PBEsol structure); spin magnetization = 0.000 μB per cell; E = -11.47 eV/atom
1.0
4.1616 0.0000 0.0000
0.0000 4.1616 0.0000
0.0000 0.0000 4.1616
Te Li F
1 3 1
direct
0.5000 0.5000 0.5000
0.0000 0.5000 0.0000
0.5000 0.0000 0.0000
0.0000 0.0000 0.5000
0.0000 0.0000 0.0000

# 5
Mn2W (meta-GGA SCAN, single point on PBEsol structure); spin magnetization = 0.005 μB per cell; E = -35.36 eV/atom
1.0
4.6631 0.0000 0.0000
-2.3315 4.0383 0.0000
0.0000 0.0000 15.2968
W Mn
8 16
direct
0.0000 0.0000 0.4077
0.6667 0.3333 0.8439
0.3333 0.6667 0.1561
0.0000 0.0000 0.0923
0.6667 0.3333 0.6561
0.3333 0.6667 0.3439
0.0000 0.0000 0.9077
0.0000 0.0000 0.5923
0.0000 0.5000 0.5000
0.6667 0.3333 0.3723
0.8392 0.1608 0.2500
0.5000 0.0000 0.0000
0.6783 0.8392 0.7500
0.5000 0.5000 0.5000
0.0000 0.5000 0.0000
0.3217 0.1608 0.2500
0.1608 0.3217 0.7500
0.5000 0.5000 0.0000
0.1608 0.8392 0.7500
0.6667 0.3333 0.1277
0.3333 0.6667 0.6277
0.8392 0.6783 0.2500
0.3333 0.6667 0.8723
0.5000 0.0000 0.5000

# 6
Fe2TcSb (meta-GGA SCAN, single point on PBEsol structure); spin magnetization = 4.882 μB per cell; E = -26.71 eV/atom
1.0
-2.5244 1.1802 -0.9152
-2.3784 -0.1147 1.7125
0.3981 7.2489 3.5500
Sb Fe Tc
1 2 1
direct
0.4972 0.4972 0.5084
0.7427 0.7427 0.7719
0.0028 0.0028 0.9917
0.2573 0.2573 0.2280